Record 1
# CsNbRu2 | Alexandria | PBE | relaxed
# energy relative to the elements	1.431	eV/atom
# relative energy among the computed polymorphs	53	meV/atom
# N(E_F)	11.37	states/eV/cell
# volume	19.3	Å³/atom
# calculated total energy	-5.94	eV/atom
data_CsNbRu2
_chemical_formula_sum 'Cs4 Nb4 Ru8'
_space_group_name_H-M_alt 'F m -3 m'
_space_group_IT_number 225
_space_group_name_Hall '-F 4 2 3'
_cell_length_a 6.755
_cell_length_b 6.755
_cell_length_c 6.755
_cell_angle_alpha 90.00
_cell_angle_beta 90.00
_cell_angle_gamma 90.00
loop_
_atom_site_label
_atom_site_type_symbol
_atom_site_fract_x
_atom_site_fract_y
_atom_site_fract_z
Cs1 Cs 0.000 0.000 0.000
Nb1 Nb 0.000 0.000 0.500
Ru1 Ru 0.250 0.250 0.250

---

Record 2
# CsNbTcRu2 | Alexandria | PBE | relaxed
# energy relative to the elements	1.543	eV/atom
# N(E_F)	5.80	states/eV/cell
# volume	23.2	Å³/atom
# calculated total energy	-6.42	eV/atom
data_CsNbTcRu2
_chemical_formula_sum 'Cs1 Nb1 Tc1 Ru2'
_space_group_name_H-M_alt 'P 4/m m m'
_space_group_IT_number 123
_space_group_name_Hall '-P 4 2'
_cell_length_a 4.858
_cell_length_b 4.858
_cell_length_c 4.915
_cell_angle_alpha 90.00
_cell_angle_beta 90.00
_cell_angle_gamma 90.00
loop_
_atom_site_label
_atom_site_type_symbol
_atom_site_fract_x
_atom_site_fract_y
_atom_site_fract_z
Cs1 Cs 0.000 0.000 0.000
Nb1 Nb 0.500 0.500 0.000
Tc1 Tc 0.500 0.500 0.500
Ru1 Ru 0.000 0.500 0.500

---

Record 3
# CsNb2RuW | Alexandria | PBE | relaxed
# energy relative to the elements	3.188	eV/atom
# N(E_F)	4.97	states/eV/cell
# volume	23.0	Å³/atom
# calculated total energy	-5.46	eV/atom
data_CsNb2RuW
_chemical_formula_sum 'Cs1 Nb2 Ru1 W1'
_space_group_name_H-M_alt 'P 4/m m m'
_space_group_IT_number 123
_space_group_name_Hall '-P 4 2'
_cell_length_a 4.955
_cell_length_b 4.955
_cell_length_c 4.685
_cell_angle_alpha 90.00
_cell_angle_beta 90.00
_cell_angle_gamma 90.00
loop_
_atom_site_label
_atom_site_type_symbol
_atom_site_fract_x
_atom_site_fract_y
_atom_site_fract_z
Cs1 Cs 0.000 0.000 0.000
Nb1 Nb 0.000 0.500 0.000
Ru1 Ru 0.000 0.000 0.500
W1 W 0.500 0.500 0.500

---

Record 4
# CsNb3S | Alexandria | PBE | relaxed
# relative energy among the computed polymorphs	1898	meV/atom
# N(E_F)	2.89	states/eV/cell
# volume	25.7	Å³/atom
# calculated total energy	-4.21	eV/atom
# uncorrected formation energy	2.8257	eV/atom
data_CsNb3S
_chemical_formula_sum 'Cs1 Nb3 S1'
_space_group_name_H-M_alt 'P m -3 m'
_space_group_IT_number 221
_space_group_name_Hall '-P 4 2 3'
_cell_length_a 5.047
_cell_length_b 5.047
_cell_length_c 5.047
_cell_angle_alpha 90.00
_cell_angle_beta 90.00
_cell_angle_gamma 90.00
loop_
_atom_site_label
_atom_site_type_symbol
_atom_site_fract_x
_atom_site_fract_y
_atom_site_fract_z
Cs1 Cs 0.000 0.000 0.000
Nb1 Nb 0.000 0.000 0.500
S1 S 0.500 0.500 0.500

---

Record 5
# Cs2NbS | Alexandria | PBE | relaxed
# relative energy among the computed polymorphs	0	meV/atom
# N(E_F)	6.86	states/eV/cell
# volume	57.1	Å³/atom
# calculated total energy	-3.91	eV/atom
# uncorrected formation energy	0.0655	eV/atom
data_Cs2NbS
_chemical_formula_sum 'Cs8 Nb4 S4'
_space_group_name_H-M_alt 'I -4 2 d'
_space_group_IT_number 122
_space_group_name_Hall 'I -4 2bw'
_cell_length_a 13.796
_cell_length_b 13.796
_cell_length_c 4.801
_cell_angle_alpha 90.00
_cell_angle_beta 90.00
_cell_angle_gamma 90.00
loop_
_atom_site_label
_atom_site_type_symbol
_atom_site_fract_x
_atom_site_fract_y
_atom_site_fract_z
Cs1 Cs 0.058 0.250 0.125
Nb1 Nb 0.000 0.000 0.500
S1 S 0.000 0.000 0.000

---

Record 6
# CsNbS3 | Alexandria | PBE | relaxed
# relative energy among the computed polymorphs	2814	meV/atom
# N(E_F)	7.26	states/eV/cell
# volume	30.9	Å³/atom
# calculated total energy	-2.96	eV/atom
# uncorrected formation energy	1.6994	eV/atom
data_CsNbS3
_chemical_formula_sum 'Cs1 Nb1 S3'
_space_group_name_H-M_alt 'P m -3 m'
_space_group_IT_number 221
_space_group_name_Hall '-P 4 2 3'
_cell_length_a 5.365
_cell_length_b 5.365
_cell_length_c 5.365
_cell_angle_alpha 90.00
_cell_angle_beta 90.00
_cell_angle_gamma 90.00
loop_
_atom_site_label
_atom_site_type_symbol
_atom_site_fract_x
_atom_site_fract_y
_atom_site_fract_z
Cs1 Cs 0.000 0.000 0.000
Nb1 Nb 0.500 0.500 0.500
S1 S 0.000 0.000 0.500

---

Record 7
# Cs2NbS4 | Alexandria | PBE | relaxed
# relative energy among the computed polymorphs	12	meV/atom
# N(E_F)	15.68	states/eV/cell
# volume	45.4	Å³/atom
# calculated total energy	-4.98	eV/atom
# uncorrected formation energy	-0.9381	eV/atom
data_Cs2NbS4
_chemical_formula_sum 'Cs8 Nb4 S16'
_space_group_name_H-M_alt 'F m m 2'
_space_group_IT_number 42
_space_group_name_Hall 'F 2 -2'
_cell_length_a 10.150
_cell_length_b 13.450
_cell_length_c 9.319
_cell_angle_alpha 90.00
_cell_angle_beta 90.00
_cell_angle_gamma 90.00
loop_
_atom_site_label
_atom_site_type_symbol
_atom_site_fract_x
_atom_site_fract_y
_atom_site_fract_z
Cs1 Cs 0.250 0.250 0.000
Nb1 Nb 0.000 0.000 0.373
S1 S 0.000 0.147 0.249
S2 S 0.163 0.000 0.543

---

Record 8
# CsNb2S3 | Alexandria | PBE | relaxed
# N(E_F)	11.19	states/eV/cell
# volume	24.4	Å³/atom
# calculated total energy	-6.56	eV/atom
# uncorrected formation energy	-0.9934	eV/atom
data_CsNb2S3
_chemical_formula_sum 'Cs4 Nb8 S12'
_space_group_name_H-M_alt 'C m c m'
_space_group_IT_number 63
_space_group_name_Hall '-C 2c 2'
_cell_length_a 4.297
_cell_length_b 16.335
_cell_length_c 8.355
_cell_angle_alpha 90.00
_cell_angle_beta 90.00
_cell_angle_gamma 90.00
loop_
_atom_site_label
_atom_site_type_symbol
_atom_site_fract_x
_atom_site_fract_y
_atom_site_fract_z
Cs1 Cs 0.000 0.224 0.250
Nb1 Nb 0.000 0.000 0.000
Nb2 Nb 0.000 0.480 0.250
S1 S 0.000 0.096 0.750
S2 S 0.000 0.409 0.545

---

Record 9
# CsNb6S12 | Alexandria | PBE | relaxed
# N(E_F)	39.81	states/eV/cell
# volume	20.3	Å³/atom
# calculated total energy	-6.53	eV/atom
# uncorrected formation energy	-0.7018	eV/atom
data_CsNb6S12
_chemical_formula_sum 'Cs3 Nb18 S36'
_space_group_name_H-M_alt 'R -3 m'
_space_group_IT_number 166
_space_group_name_Hall '-R 3 2"'
_cell_length_a 11.9726
_cell_length_b 11.9726
_cell_length_c 9.3204
_cell_angle_alpha 90.00
_cell_angle_beta 90.00
_cell_angle_gamma 120.00
loop_
_atom_site_label
_atom_site_type_symbol
_atom_site_fract_x
_atom_site_fract_y
_atom_site_fract_z
Cs1 Cs 0.0000 0.0000 0.0000
Nb1 Nb 0.0764 0.5382 0.2890
S1 S 0.0000 0.3749 0.5000
S2 S 0.0934 0.1868 0.3630

---

Record 10
# CsNb2S | Alexandria | PBE | relaxed
# N(E_F)	10.51	states/eV/cell
# volume	26.5	Å³/atom
# calculated total energy	-5.63	eV/atom
# uncorrected formation energy	0.6484	eV/atom
data_CsNb2S
_chemical_formula_sum 'Cs4 Nb8 S4'
_space_group_name_H-M_alt 'I -4 2 d'
_space_group_IT_number 122
_space_group_name_Hall 'I -4 2bw'
_cell_length_a 4.808
_cell_length_b 4.808
_cell_length_c 18.362
_cell_angle_alpha 90.00
_cell_angle_beta 90.00
_cell_angle_gamma 90.00
loop_
_atom_site_label
_atom_site_type_symbol
_atom_site_fract_x
_atom_site_fract_y
_atom_site_fract_z
Cs1 Cs 0.000 0.000 0.000
Nb1 Nb 0.084 0.250 0.625
S1 S 0.000 0.000 0.500

---

Record 11
# Cs2NbS | Alexandria | PBE | relaxed
# relative energy among the computed polymorphs	773	meV/atom
# N(E_F)	15.97	states/eV/cell
# volume	39.0	Å³/atom
# calculated total energy	-3.14	eV/atom
# uncorrected formation energy	0.8387	eV/atom
data_Cs2NbS
_chemical_formula_sum 'Cs8 Nb4 S4'
_space_group_name_H-M_alt 'F m -3 m'
_space_group_IT_number 225
_space_group_name_Hall '-F 4 2 3'
_cell_length_a 8.547
_cell_length_b 8.547
_cell_length_c 8.547
_cell_angle_alpha 90.00
_cell_angle_beta 90.00
_cell_angle_gamma 90.00
loop_
_atom_site_label
_atom_site_type_symbol
_atom_site_fract_x
_atom_site_fract_y
_atom_site_fract_z
Cs1 Cs 0.250 0.250 0.250
Nb1 Nb 0.000 0.000 0.000
S1 S 0.000 0.000 0.500

---

Record 12
# Cs2NbS4 | Alexandria | PBE | relaxed
# relative energy among the computed polymorphs	0	meV/atom
# volume	32.3	Å³/atom
# calculated total energy	-4.99	eV/atom
# uncorrected formation energy	-0.9506	eV/atom
data_Cs2NbS4
_chemical_formula_sum 'Cs4 Nb2 S8'
_space_group_name_H-M_alt 'P 1 21/m 1'
_space_group_IT_number 11
_cell_length_a 8.351
_cell_length_b 6.845
_cell_length_c 8.499
_cell_angle_alpha 90.00
_cell_angle_beta 111.26
_cell_angle_gamma 90.00
loop_
_space_group_symop_operation_xyz
'x,y,z'
'-x,-y,-z'
'-x,y+1/2,-z'
'x,-y+1/2,z'
loop_
_atom_site_label
_atom_site_type_symbol
_atom_site_fract_x
_atom_site_fract_y
_atom_site_fract_z
Cs1 Cs 0.010 0.250 0.343
Cs2 Cs 0.332 0.250 0.000
Nb1 Nb 0.418 0.750 0.384
S1 S 0.100 0.750 0.291
S2 S 0.280 0.750 0.087
S3 S 0.391 0.511 0.616